[1]
Ca3Mg7Au4 | PBE | optimized geometry

a = 4.526 Å, b = 8.619 Å, c = 9.262 Å
α = 71.57°, β = 75.86°, γ = 74.78°
Fractional coordinates of all 14 atoms:
Ca 0.307 0.181 0.206
Ca 0.693 0.819 0.794
Ca 0.000 0.500 0.500
Mg 0.318 0.846 0.519
Mg 0.490 0.227 0.794
Mg 0.835 0.404 0.927
Mg 0.682 0.154 0.481
Mg 0.165 0.596 0.073
Mg 0.000 0.000 0.000
Mg 0.510 0.773 0.206
Au 0.665 0.438 0.233
Au 0.335 0.562 0.767
Au 0.888 0.900 0.324
Au 0.112 0.100 0.676

Calculated values
Energy of formation = -7.402 eV per formula unit
Space-group type = No. 12
Calculated density = 5.5 g/cm³
Volume = 23.3 Å³/atom
Total magnetic moment = 0.00 Bohr magnetons per cell

=====

[2]
Mg3Cd3Bi | PBE | optimized geometry

a = 7.740 Å, b = 7.740 Å, c = 7.740 Å
α = 90.00°, β = 90.00°, γ = 90.00°
Fractional coordinates of all 14 atoms:
Mg 0.000 0.250 0.500
Mg 0.000 0.750 0.500
Mg 0.500 0.000 0.750
Mg 0.750 0.500 0.000
Mg 0.500 0.000 0.250
Mg 0.250 0.500 0.000
Bi 0.500 0.500 0.500
Bi 0.000 0.000 0.000
Cd 0.250 0.000 0.500
Cd 0.000 0.500 0.250
Cd 0.500 0.750 0.000
Cd 0.750 0.000 0.500
Cd 0.000 0.500 0.750
Cd 0.500 0.250 0.000

Calculated values
Energy of formation = 3.617 eV per formula unit
Space-group type = No. 223
Calculated density = 4.4 g/cm³
Volume = 33.1 Å³/atom
Total magnetic moment = 0.00 Bohr magnetons per cell
Energy relative to the lowest polymorph listed for this composition = 514 meV per atom

=====

[3]
Rb3Sb2As | PBE | optimized geometry

a = 6.276 Å, b = 12.059 Å, c = 14.852 Å
α = 90.00°, β = 116.76°, γ = 90.00°
Fractional coordinates of all 24 atoms:
Rb 0.358 0.884 0.058
Rb 0.142 0.384 0.442
Rb 0.642 0.116 0.942
Rb 0.858 0.616 0.558
Rb 0.410 0.496 0.244
Rb 0.090 0.996 0.256
Rb 0.590 0.504 0.756
Rb 0.910 0.004 0.744
Rb 0.771 0.613 0.097
Rb 0.729 0.113 0.403
Rb 0.229 0.387 0.903
Rb 0.271 0.887 0.597
Sb 0.742 0.783 0.314
Sb 0.758 0.283 0.186
Sb 0.258 0.217 0.686
Sb 0.242 0.717 0.814
Sb 0.214 0.684 0.405
Sb 0.286 0.184 0.095
Sb 0.786 0.316 0.595
Sb 0.714 0.816 0.905
As 0.559 0.844 0.439
As 0.941 0.344 0.061
As 0.441 0.156 0.561
As 0.059 0.656 0.939

Calculated values
Space-group type = No. 14
Calculated density = 3.8 g/cm³
Volume = 41.8 Å³/atom
Total magnetic moment = 0.00 Bohr magnetons per cell
Formation energy without anion corrections = -365.2 meV per atom

=====

[4]
Pm6In2C | PBE | optimized geometry

a = 3.667 Å, b = 8.931 Å, c = 8.923 Å
α = 120.03°, β = 90.00°, γ = 90.00°
Fractional coordinates of all 9 atoms:
Pm 0.500 0.591 0.000
Pm 0.500 0.408 0.409
Pm 0.500 0.000 0.591
Pm 0.000 0.217 0.000
Pm 0.000 0.784 0.783
Pm 0.000 0.000 0.217
In 0.000 0.333 0.667
In 0.000 0.666 0.333
C 0.500 0.001 0.000

Calculated values
Energy of formation = -1.434 eV per formula unit
Space-group type = No. 38
Calculated density = 7.3 g/cm³
Volume = 28.1 Å³/atom
Total magnetic moment = 0.00 Bohr magnetons per cell
Energy relative to the lowest polymorph listed for this composition = 176 meV per atom

=====

[5]
LaYRe2 | PBE | optimized geometry

a = 9.189 Å, b = 9.189 Å, c = 9.189 Å
α = 20.82°, β = 20.82°, γ = 20.82°
Fractional coordinates of all 4 atoms:
La 0.250 0.250 0.250
Re 0.000 0.000 0.000
Re 0.500 0.500 0.500
Y 0.750 0.750 0.750

Calculated values
Energy of formation = 3.336 eV per formula unit
Space-group type = No. 166
Calculated density = 11.6 g/cm³
Volume = 21.5 Å³/atom
Total magnetic moment = 0.00 Bohr magnetons per cell
Energy relative to the lowest polymorph listed for this composition = 737 meV per atom

=====

[6]
TaAlV | PBE | optimized geometry

a = 5.118 Å, b = 5.118 Å, c = 5.118 Å
α = 88.46°, β = 120.07°, γ = 121.72°
Fractional coordinates of all 6 atoms:
Ta 0.250 0.126 0.376
Ta 0.750 0.874 0.624
Al 0.000 0.500 0.500
Al 0.500 0.500 0.000
V 0.500 0.000 0.000
V 0.000 0.500 0.000

Calculated values
Energy of formation = -0.628 eV per formula unit
Space-group type = No. 74
Calculated density = 9.2 g/cm³
Volume = 15.6 Å³/atom
Total magnetic moment = 0.00 Bohr magnetons per cell
Energy relative to the lowest polymorph listed for this composition = 0 meV per atom

=====

[7]
K3RbZn4Cl12 | PBE | optimized geometry

a = 9.459 Å, b = 9.459 Å, c = 9.459 Å
α = 103.44°, β = 103.44°, γ = 103.44°
Fractional coordinates of all 20 atoms:
K 0.538 0.462 0.000
K 0.462 0.000 0.538
K 0.000 0.538 0.462
Rb 0.000 0.000 0.000
Zn 0.957 0.043 0.500
Zn 0.043 0.500 0.957
Zn 0.500 0.957 0.043
Zn 0.500 0.500 0.500
Cl 0.500 0.352 0.648
Cl 0.895 0.500 0.105
Cl 0.105 0.895 0.500
Cl 0.500 0.105 0.895
Cl 0.347 0.963 0.187
Cl 0.187 0.347 0.963
Cl 0.963 0.187 0.347
Cl 0.653 0.813 0.037
Cl 0.037 0.653 0.813
Cl 0.813 0.037 0.653
Cl 0.648 0.500 0.352
Cl 0.352 0.648 0.500

Calculated values
Space-group type = No. 155
Calculated density = 1.9 g/cm³
Volume = 38.1 Å³/atom
Total magnetic moment = 0.00 Bohr magnetons per cell
Formation energy without anion corrections = -1450.9 meV per atom

=====

[8]
Sr2Ag2Br | PBE | optimized geometry

a = 8.695 Å, b = 8.695 Å, c = 4.328 Å
α = 90.00°, β = 90.00°, γ = 90.00°
Fractional coordinates of all 10 atoms:
Sr 0.318 0.818 0.000
Sr 0.818 0.682 0.000
Sr 0.682 0.182 0.000
Sr 0.182 0.318 0.000
Br 0.000 0.000 0.000
Br 0.500 0.500 0.000
Ag 0.113 0.613 0.500
Ag 0.613 0.887 0.500
Ag 0.887 0.387 0.500
Ag 0.387 0.113 0.500

Calculated values
Space-group type = No. 127
Calculated density = 4.8 g/cm³
Volume = 32.7 Å³/atom
Total magnetic moment = 0.00 Bohr magnetons per cell
Energy relative to the lowest polymorph listed for this composition = 0 meV per atom
Formation energy without anion corrections = -673.4 meV per atom